No. 1
## NdHo2Mg3Pt3 (PBE)

Data for a geometry-optimized NdHo2Mg3Pt3 structure.

Cell lengths 4.0853, 12.8328, 7.3900 Å; angles 90.00, 90.00, 90.00 degrees
Closest atoms and distances in Å follow each position.
Space group Amm2 (No. 38)
Unique sites:
Nd1 0.0000 0.0000 0.0000 [2 per cell]  5 Pt 3.07-3.10, 6 Mg 3.26-3.37
Ho1 0.0000 0.2042 0.6179 [4 per cell]  5 Pt 3.00-3.01, 6 Mg 3.28-3.33
Mg1 0.5000 0.0000 0.6556 [2 per cell]  4 Pt 2.69-2.90
Mg2 0.5000 0.1232 0.2929 [4 per cell]  4 Pt 2.75-2.89
Pt1 0.0000 0.0000 0.4197 [2 per cell]  6 Mg 2.69-2.75, 2 Ho 3.00
Pt2 0.5000 0.1711 0.9110 [4 per cell]  3 Mg 2.78-2.90, 4 Ho 3.01, 2 Nd 3.07

Output
Total energy = -0.36940 Ry/atom
Magnetic moment = 0.00 μB per atom

***

No. 2
## Pm3Sn4Pd2 (PBE)

Data for a geometry-optimized Pm3Sn4Pd2 structure.

Cell lengths 11.4647, 4.6568, 8.9003 Å; angles 90.00, 107.23, 90.00 degrees
Closest atoms and distances in Å follow each position.
Space group C2/m (No. 12)
Unique sites:
Pm1 0.0000 0.0000 0.0000 [2 per cell]  6 Sn 3.23-3.33
Pm2 0.1318 0.5000 0.6890 [4 per cell]  3 Pd 3.08-3.23, 7 Sn 3.28-3.45
Sn1 0.0799 0.0000 0.3910 [4 per cell]  3 Pd 2.69-2.81
Sn2 0.2047 0.5000 0.0741 [4 per cell]  1 Pd 2.72, 2 Sn 3.01
Pd1 0.1935 0.5000 0.3745 [4 per cell]  4 Sn 2.69-2.81

Output
Total energy = -0.39120 Ry/atom
Magnetic moment = 0.00 μB per atom

***

No. 3
## DyHo2Tm (PBE)

Data for a geometry-optimized DyHo2Tm structure.

Cell lengths 5.5698, 12.3993, 7.1588 Å; angles 90.00, 90.00, 90.00 degrees
Closest atoms and distances in Å follow each position.
Space group Ama2 (No. 40)
Unique sites:
Dy1 0.2500 0.1666 0.0000 [4 per cell]  8 Ho 3.47-3.58, 4 Tm 3.47-3.58
Ho1 0.2500 0.1663 0.4998 [4 per cell]  4 Ho 3.47-3.59, 4 Tm 3.47-3.59, 4 Dy 3.47-3.58
Ho2 0.2500 0.4169 0.7504 [4 per cell]  6 Ho 3.46-3.59, 4 Dy 3.47-3.58, 2 Tm 3.57-3.59
Tm1 0.2500 0.4169 0.2494 [4 per cell]  2 Tm 3.47, 6 Ho 3.47-3.59, 4 Dy 3.47-3.58

Output
Total energy = -0.33468 Ry/atom
Magnetic moment = 0.09 μB per atom

***

No. 4
## CoSnOsAu (PBE)

Data for a geometry-optimized CoSnOsAu structure.

Cell lengths 6.3472, 6.3472, 6.3472 Å; angles 90.00, 90.00, 90.00 degrees
Closest atoms and distances in Å follow each position.
Space group F-43m (No. 216)
Unique sites:
Co1 0.0000 0.0000 0.0000 [4 per cell]  4 Au 2.75, 4 Sn 2.75
Sn1 0.2500 0.2500 0.7500 [4 per cell]  4 Co 2.75, 4 Os 2.75
Os1 0.0000 0.0000 0.5000 [4 per cell]  4 Sn 2.75, 4 Au 2.75
Au1 0.2500 0.2500 0.2500 [4 per cell]  4 Co 2.75, 4 Os 2.75

Output
Total energy = -0.43824 Ry/atom
ΔE to the lowest computed polymorph = 0.000 eV per atom
Magnetic moment = 0.37 μB per atom